Computed, not measured: GaAgHg after structural relaxation at the PBE level of DFT. Values from VASP.

Output
Symmetry ... I4/mmm
Energy above the lowest structure with this stoichiometry ... 112.2 meV per atom

Geometry as Quantum ESPRESSO input:
```
&SYSTEM
  ibrav = 0, nat = 6, ntyp = 3
/
ATOMIC_SPECIES
Ag 107.87 Ag.upf
Ga 69.72 Ga.upf
Hg 200.59 Hg.upf
CELL_PARAMETERS angstrom
3.7396 0.0000 0.0000
0.0000 3.7396 0.0000
-1.8698 -1.8698 10.2959
ATOMIC_POSITIONS angstrom
Ag 0.0000 0.0000 1.4824
Ag 1.8698 1.8698 8.8135
Ga 1.8698 1.8698 1.4055
Ga 0.0000 0.0000 8.8904
Hg 1.8698 1.8698 5.9745
Hg 0.0000 0.0000 4.3213
```



Computed, not measured: Ga2Ag6Hg after structural relaxation at the PBE level of DFT. Values from VASP.

Output
Symmetry ... C2/c
Energy above the lowest structure with this stoichiometry ... 0.0 meV per atom

Geometry as Quantum ESPRESSO input:
```
&SYSTEM
  ibrav = 0, nat = 18, ntyp = 3
/
ATOMIC_SPECIES
Ga 69.72 Ga.upf
Ag 107.87 Ag.upf
Hg 200.59 Hg.upf
CELL_PARAMETERS angstrom
5.1760 -0.1580 -0.1530
0.9077 8.0695 1.0200
0.9077 1.2809 8.0322
ATOMIC_POSITIONS angstrom
Ga 3.3149 5.3873 6.7275
Ga 1.0884 2.3729 3.8091
Ga 3.6764 3.8050 2.1717
Ga 5.9030 6.8195 5.0900
Ag 3.5166 5.9465 3.9903
Ag 0.8867 5.0905 3.1616
Ag 3.4748 3.2459 4.9089
Ag 6.1046 4.1018 5.7376
Ag 3.7991 1.1448 2.8643
Ag 5.7803 6.2135 7.7713
Ag 3.1923 8.0475 6.0349
Ag 1.2111 2.9789 1.1279
Ag 2.3226 5.8706 0.8471
Ag 2.0807 8.2345 3.1356
Ag 4.6687 3.3218 8.0520
Ag 4.9107 0.9579 5.7635
Hg 2.2017 1.9525 7.2595
Hg 4.7897 7.2399 1.6397
```



Computed, not measured: GaAgHg after structural relaxation at the PBE level of DFT. Values from VASP.

Output
Symmetry ... F-43m
Energy above the lowest structure with this stoichiometry ... 69.9 meV per atom

Geometry as Quantum ESPRESSO input:
```
&SYSTEM
  ibrav = 0, nat = 3, ntyp = 3
/
ATOMIC_SPECIES
Ga 69.72 Ga.upf
Hg 200.59 Hg.upf
Ag 107.87 Ag.upf
CELL_PARAMETERS angstrom
4.5328 0.0000 0.0000
2.2664 3.9255 0.0000
2.2664 1.3085 3.7010
ATOMIC_POSITIONS angstrom
Ga 2.2664 1.3085 0.9253
Hg 0.0000 0.0000 0.0000
Ag 4.5328 2.6170 1.8505
```



Computed, not measured: GaAg2Hg after structural relaxation at the PBE level of DFT. Values from VASP.

Output
Symmetry ... P4/mmm

Geometry as Quantum ESPRESSO input:
```
&SYSTEM
  ibrav = 0, nat = 4, ntyp = 3
/
ATOMIC_SPECIES
Ga 69.72 Ga.upf
Hg 200.59 Hg.upf
Ag 107.87 Ag.upf
CELL_PARAMETERS angstrom
-3.6922 1.0043 -1.9222
-0.0535 -3.7775 -1.8708
-2.1345 -1.5891 3.2697
ATOMIC_POSITIONS angstrom
Ga -1.8461 0.5021 -0.9611
Hg -2.9401 -2.1812 -0.2617
Ag -1.0673 -0.7945 1.6349
Ag -0.0267 -1.8888 -0.9354
```



Computed, not measured: GaAg3Hg3 after structural relaxation at the PBE level of DFT. Values from VASP.

Output
Symmetry ... Pm-3n

Geometry as Quantum ESPRESSO input:
```
&SYSTEM
  ibrav = 0, nat = 14, ntyp = 3
/
ATOMIC_SPECIES
Ga 69.72 Ga.upf
Hg 200.59 Hg.upf
Ag 107.87 Ag.upf
CELL_PARAMETERS angstrom
-5.8862 -3.4082 -3.7585
1.6594 -6.7333 3.5069
-4.7946 1.8537 5.8279
ATOMIC_POSITIONS angstrom
Ga -4.5107 -4.1439 2.7882
Ga 0.0000 0.0000 0.0000
Hg -1.9824 -0.7565 3.7907
Hg -1.1527 -4.1231 5.5441
Hg -6.5390 -0.3138 2.4917
Hg -3.5849 -5.9228 -1.0654
Hg -4.1417 -1.2407 -0.4223
Hg -0.6418 -4.2187 0.8138
Ag -3.8688 0.0748 1.9743
Ag -0.3689 -2.9032 3.2104
Ag -1.6985 -6.7541 0.7509
Ag -6.8119 -1.6293 0.0951
Ag -2.7662 -1.9764 6.1244
Ag -2.5282 -3.3874 -1.0025
```



Computed, not measured: GaAg3Hg after structural relaxation at the PBE level of DFT. Values from VASP.

Output
Symmetry ... Pm-3m
Energy above the lowest structure with this stoichiometry ... 362.4 meV per atom

Geometry as Quantum ESPRESSO input:
```
&SYSTEM
  ibrav = 0, nat = 5, ntyp = 3
/
ATOMIC_SPECIES
Ga 69.72 Ga.upf
Hg 200.59 Hg.upf
Ag 107.87 Ag.upf
CELL_PARAMETERS angstrom
-3.1788 -3.2002 -2.0165
2.0205 -3.6634 2.6286
-3.1976 0.8666 3.6656
ATOMIC_POSITIONS angstrom
Ga 0.0000 0.0000 0.0000
Hg -2.1780 -2.9985 2.1389
Ag 1.0103 -1.8317 1.3143
Ag -1.5988 0.4333 1.8328
Ag -1.5894 -1.6001 -1.0082
```



no.,calculated volume (Å³/atom),formation energy from the elements (eV per atom)
1,24.0,0.1659
2,18.4,0.0376
3,22.0,0.1236
4,19.0,0.0751
5,33.5,0.5235
6,24.1,0.4123